[1]
Material: GaAg2PbF6
Method: DFT, PBE
State: relaxed

Values from the calculation:
The volume comes out at 314 Å³/cell. As for the total energy: -4.146 eV per atom. The calculation puts the uncorrected formation energy at -1.779 eV per atom. The size of the total moment comes out at 0.000 μB per atom.

The structure in POSCAR format:
```
GaAg2PbF6
1.0
5.691 0.000 0.000
0.000 6.778 0.000
-3.766 0.000 8.147
Ga Ag Pb F
2 4 2 12
direct
0.000 0.000 0.000
0.000 0.500 0.500
0.325 0.047 0.754
0.325 0.453 0.254
0.675 0.547 0.746
0.675 0.953 0.246
0.500 0.000 0.500
0.500 0.500 0.000
0.087 0.041 0.232
0.087 0.459 0.732
0.209 0.734 0.549
0.209 0.766 0.049
0.302 0.149 0.015
0.302 0.351 0.515
0.698 0.649 0.485
0.698 0.851 0.985
0.791 0.234 0.951
0.791 0.266 0.451
0.913 0.541 0.268
0.913 0.959 0.768
```

[2]
Material: GaAgPdF6
Method: DFT, PBE
State: relaxed

Values from the calculation:
The volume comes out at 260 Å³/cell. As for the total energy: -4.203 eV per atom. The calculation puts the uncorrected formation energy at -1.725 eV per atom. The size of the total moment comes out at 0.228 μB per atom.

The structure in POSCAR format:
```
GaAgPdF6
1.0
5.100 0.000 0.000
0.000 5.100 0.000
0.000 0.000 9.982
Ga Ag Pd F
2 2 2 12
direct
0.000 0.000 0.000
0.500 0.500 0.500
0.000 0.000 0.336
0.500 0.500 0.836
0.000 0.000 0.662
0.500 0.500 0.162
0.174 0.174 0.849
0.193 0.193 0.135
0.234 0.234 0.510
0.266 0.734 0.010
0.307 0.693 0.635
0.326 0.674 0.349
0.674 0.326 0.349
0.693 0.307 0.635
0.734 0.266 0.010
0.766 0.766 0.510
0.807 0.807 0.135
0.826 0.826 0.849
```

[3]
Material: PmGaAg2F8
Method: DFT, PBE
State: relaxed

Values from the calculation:
The volume comes out at 186 Å³/cell. As for the total energy: -4.874 eV per atom. The calculation puts the uncorrected formation energy at -2.503 eV per atom. The size of the total moment comes out at 0.000 μB per atom.

The structure in POSCAR format:
```
PmGaAg2F8
1.0
4.604 0.000 0.000
0.000 6.958 0.000
-0.356 0.000 5.803
Pm Ga Ag F
1 1 2 8
direct
0.000 0.000 0.000
0.000 0.500 0.000
0.500 0.276 0.500
0.500 0.724 0.500
0.129 0.281 0.810
0.129 0.719 0.810
0.336 0.500 0.193
0.410 0.000 0.235
0.590 0.000 0.765
0.664 0.500 0.807
0.871 0.281 0.190
0.871 0.719 0.190
```

[4]
Material: RbGa2AgF8
Method: DFT, PBE
State: relaxed

Values from the calculation:
The volume comes out at 214 Å³/cell. As for the total energy: -4.424 eV per atom. The calculation puts the uncorrected formation energy at -2.353 eV per atom. The size of the total moment comes out at 0.011 μB per atom.

The structure in POSCAR format:
```
RbGa2AgF8
1.0
2.850 1.646 7.606
-2.850 1.646 7.606
0.000 -3.291 7.606
Rb Ga Ag F
1 2 1 8
direct
0.000 0.000 0.000
0.248 0.248 0.248
0.752 0.752 0.752
0.500 0.500 0.500
0.062 0.802 0.457
0.198 0.543 0.938
0.327 0.327 0.327
0.457 0.062 0.802
0.543 0.938 0.198
0.673 0.673 0.673
0.802 0.457 0.062
0.938 0.198 0.543
```

[5]
Material: GaAgRhF6
Method: DFT, PBE
State: relaxed

Values from the calculation:
The volume comes out at 269 Å³/cell. As for the total energy: -4.418 eV per atom. The calculation puts the uncorrected formation energy at -1.701 eV per atom. The size of the total moment comes out at 0.111 μB per atom.

The structure in POSCAR format:
```
GaAgRhF6
1.0
5.479 0.000 0.000
-2.739 4.745 0.000
0.000 0.000 10.340
Ga Ag Rh F
2 2 2 12
direct
0.333 0.667 0.250
0.667 0.333 0.750
0.000 0.000 0.000
0.000 0.000 0.500
0.333 0.667 0.750
0.667 0.333 0.250
0.032 0.379 0.146
0.032 0.653 0.354
0.347 0.379 0.354
0.347 0.968 0.146
0.379 0.032 0.646
0.379 0.347 0.854
0.621 0.653 0.146
0.621 0.968 0.354
0.653 0.032 0.854
0.653 0.621 0.646
0.968 0.347 0.646
0.968 0.621 0.854
```

[6]
Material: GaAgSeF2
Method: DFT, PBE
State: relaxed

Values from the calculation:
The volume comes out at 99 Å³/cell. As for the total energy: -3.146 eV per atom. The calculation puts the uncorrected formation energy at -0.525 eV per atom. The size of the total moment comes out at 0.000 μB per atom.

The structure in POSCAR format:
```
GaAgSeF2
1.0
4.401 0.000 0.000
0.000 4.401 0.000
0.000 0.000 5.133
Ga Ag Se F
1 1 1 2
direct
0.000 0.000 0.000
0.500 0.500 0.000
0.500 0.500 0.500
0.000 0.500 0.500
0.500 0.000 0.500
```

[7]
Material: SmGaAg2F8
Method: DFT, PBE
State: relaxed

Values from the calculation:
The volume comes out at 187 Å³/cell. As for the total energy: -4.874 eV per atom. The calculation puts the uncorrected formation energy at -2.506 eV per atom. The size of the total moment comes out at 0.000 μB per atom.

The structure in POSCAR format:
```
SmGaAg2F8
1.0
4.684 0.000 0.000
0.000 6.901 0.000
-0.343 0.000 5.797
Sm Ga Ag F
1 1 2 8
direct
0.000 0.000 0.000
0.000 0.500 0.000
0.500 0.276 0.500
0.500 0.724 0.500
0.134 0.280 0.813
0.134 0.720 0.813
0.328 0.500 0.195
0.394 0.000 0.238
0.606 0.000 0.762
0.672 0.500 0.805
0.866 0.280 0.187
0.866 0.720 0.187
```

[8]
Material: SrGaAg2F6
Method: DFT, PBE
State: relaxed

Values from the calculation:
The volume comes out at 309 Å³/cell. As for the total energy: -4.369 eV per atom. The calculation puts the uncorrected formation energy at -2.205 eV per atom. The size of the total moment comes out at 0.000 μB per atom.

The structure in POSCAR format:
```
SrGaAg2F6
1.0
6.421 0.000 0.000
0.000 5.966 0.000
-5.877 0.000 8.067
Sr Ga Ag F
2 2 4 12
direct
0.000 0.000 0.000
0.000 0.500 0.500
0.500 0.000 0.500
0.500 0.500 0.000
0.179 0.000 0.693
0.179 0.500 0.193
0.821 0.000 0.307
0.821 0.500 0.807
0.245 0.237 0.435
0.245 0.263 0.935
0.246 0.738 0.936
0.246 0.762 0.436
0.402 0.501 0.777
0.402 0.999 0.277
0.598 0.001 0.723
0.598 0.499 0.223
0.754 0.238 0.564
0.754 0.262 0.064
0.755 0.737 0.065
0.755 0.763 0.565
```